(1)
Computed, not measured: Be3BrCl after structural relaxation at the PBE-GGA level of DFT.

```
Be3BrCl
1.0
4.536 0.000 0.000
0.000 4.536 0.000
0.000 0.000 4.536
Be Br Cl
3 1 1
Direct
0.000 0.000 0.500
0.000 0.500 0.000
0.500 0.000 0.000
0.500 0.500 0.500
0.000 0.000 0.000
```

Output
The size of the total moment comes out at 0.0 Bohr magnetons per cell. Its formation energy (no corrections) is 1303 meV per atom. The calculation puts the mass density at 2.53 Mg/m³. As for the distance to the lowest polymorph of the same formula: 0 meV per atom.



(2)
Computed, not measured: PmAlGa after structural relaxation at the PBE-GGA level of DFT.

```
PmAlGa
1.0
4.329 0.000 0.000
-2.164 3.749 0.000
0.000 0.000 4.211
Pm Al Ga
1 1 1
Direct
0.000 0.000 0.000
0.333 0.667 0.500
0.667 0.333 0.500
```

Output
The size of the total moment comes out at 0.0 Bohr magnetons per cell. The calculation puts the mass density at 5.87 Mg/m³. The value obtained for the formation energy is -0.599 eV/atom. As for the distance to the lowest polymorph of the same formula: 0 meV per atom.



(3)
Computed, not measured: Cs2SrTl2 after structural relaxation at the PBE-GGA level of DFT.

```
Cs2SrTl2
1.0
10.866 0.000 0.000
0.000 10.866 0.000
0.000 0.000 4.131
Cs Sr Tl
4 2 4
Direct
0.128 0.372 0.000
0.372 0.872 0.000
0.628 0.128 0.000
0.872 0.628 0.000
0.000 0.000 0.000
0.500 0.500 0.000
0.174 0.674 0.500
0.326 0.174 0.500
0.674 0.826 0.500
0.826 0.326 0.500
```

Output
The size of the total moment comes out at 0.0 Bohr magnetons per cell. The calculation puts the mass density at 5.19 Mg/m³. The value obtained for the formation energy is 0.120 eV/atom. As for the distance to the lowest polymorph of the same formula: 124 meV per atom.



(4)
Computed, not measured: Cu3SiPd after structural relaxation at the PBE-GGA level of DFT.

```
Cu3SiPd
1.0
-2.266 2.266 7.940
2.266 -2.266 7.940
2.266 2.266 -7.940
Cu Si Pd
6 2 2
Direct
0.123 0.374 0.748
0.175 0.175 0.000
0.626 0.374 0.252
0.626 0.374 0.748
0.626 0.877 0.252
0.825 0.825 0.000
0.500 0.500 0.000
0.750 0.250 0.500
0.055 0.555 0.500
0.445 0.945 0.500
```

Output
The size of the total moment comes out at 0.0 Bohr magnetons per cell. Its formation energy (no corrections) is 151 meV per atom. The calculation puts the mass density at 6.62 Mg/m³. As for the distance to the lowest polymorph of the same formula: 0 meV per atom.



- size of the total moment of number 1 (Be3BrCl)?
  0.0 Bohr magnetons per cell



- What is the size of the total moment in the second record?
  0.0 Bohr magnetons per cell



- What is the size of the total moment in the third record?
  0.0 Bohr magnetons per cell



Copy entry 2 word for word.
Computed, not measured: PmAlGa after structural relaxation at the PBE-GGA level of DFT.

```
PmAlGa
1.0
4.329 0.000 0.000
-2.164 3.749 0.000
0.000 0.000 4.211
Pm Al Ga
1 1 1
Direct
0.000 0.000 0.000
0.333 0.667 0.500
0.667 0.333 0.500
```

Output
The size of the total moment comes out at 0.0 Bohr magnetons per cell. The calculation puts the mass density at 5.87 Mg/m³. The value obtained for the formation energy is -0.599 eV/atom. As for the distance to the lowest polymorph of the same formula: 0 meV per atom.